# 1
VASP calculation (SCAN) on a crystal of PrCrO3 relaxed with PBEsol.

Lattice parameters (Å, degrees): 3.829 3.829 3.829 90.00 90.00 90.00
Sites, in units of the cell vectors:
Pr  0.000  0.000  0.000
Cr  0.500  0.500  0.500
O  0.000  0.500  0.500
O  0.500  0.000  0.500
O  0.500  0.500  0.000

Values from the calculation:
The calculated volume is 56.2 Å³ per cell. Its space group is Pm-3m. The magnetization is 0.6000 μB per atom. For the calculated total energy, the calculation gives -1.41254 Ry/atom.

---

# 2
VASP calculation (SCAN) on a crystal of CsZnCo3 relaxed with PBEsol.

Lattice parameters (Å, degrees): 4.543 4.543 4.543 90.00 90.00 90.00
Sites, in units of the cell vectors:
Cs  0.000  0.000  0.000
Zn  0.500  0.500  0.500
Co  0.000  0.500  0.500
Co  0.500  0.000  0.500
Co  0.500  0.500  0.000

Values from the calculation:
The calculated volume is 93.7 Å³ per cell. For the formation enthalpy at 0 K, the calculation gives 136.2 kJ per mole of atoms. Its space group is Pm-3m. The magnetization is 1.1952 μB per atom. The density of states at the Fermi level is 1.299 states/eV per atom. For the calculated total energy, the calculation gives -1.41383 Ry/atom.

---

# 3
VASP calculation (SCAN) on a crystal of CaAlBr relaxed with PBEsol.

Lattice parameters (Å, degrees): 6.874 6.874 6.874 149.72 149.72 43.36
Sites, in units of the cell vectors:
Ca  0.000  0.000  0.000
Al  0.349  0.349  0.000
Br  0.623  0.623  0.000

Values from the calculation:
The calculated volume is 82.4 Å³ per cell. Its space group is I4mm. The magnetization is 0.0000 μB per atom. The density of states at the Fermi level is 0.436 states/eV per atom. For the calculated total energy, the calculation gives -0.94637 Ry/atom.

---

# 4
VASP calculation (SCAN) on a crystal of CsGa2SO relaxed with PBEsol.

Lattice parameters (Å, degrees): 4.711 4.711 5.028 90.00 90.00 90.00
Sites, in units of the cell vectors:
Cs  0.000  0.000  0.000
Ga  0.000  0.500  0.500
Ga  0.500  0.000  0.500
S  0.500  0.500  0.000
O  0.500  0.500  0.500

Values from the calculation:
The calculated volume is 111.6 Å³ per cell. Its space group is P4/mmm. The magnetization is 0.0003 μB per atom. The density of states at the Fermi level is 0.416 states/eV per atom. For the calculated total energy, the calculation gives -1.26963 Ry/atom.

---

# 5
VASP calculation (SCAN) on a crystal of Cd5Au relaxed with PBEsol.

Lattice parameters (Å, degrees): 5.342 5.342 4.716 90.00 90.00 120.00
Sites, in units of the cell vectors:
Cd  0.000  0.674  0.000
Cd  0.326  0.326  0.000
Cd  0.333  0.667  0.500
Cd  0.667  0.333  0.500
Cd  0.674  0.000  0.000
Au  0.000  0.000  0.500

Values from the calculation:
Its distance to the lowest polymorph of the same formula is 0.000 eV per formula unit. The calculated volume is 116.5 Å³ per cell. For the formation enthalpy at 0 K, the calculation gives -9.4 kJ per mole of atoms. Its space group is P-62m. The magnetization is 0.0000 μB per atom. The density of states at the Fermi level is 0.214 states/eV per atom. For the calculated total energy, the calculation gives -2.71716 Ry/atom.

---

# 6
VASP calculation (SCAN) on a crystal of Fe2SbBr relaxed with PBEsol.

Lattice parameters (Å, degrees): 3.047 4.056 5.802 90.00 90.00 90.00
Sites, in units of the cell vectors:
Fe  0.000  0.000  0.000
Fe  0.500  0.000  0.500
Sb  0.000  0.500  0.500
Br  0.500  0.500  0.000

Values from the calculation:
Its distance to the lowest polymorph of the same formula is 1.980 eV per formula unit. The calculated volume is 71.7 Å³ per cell. Its space group is Pmmm. The magnetization is 1.3427 μB per atom. The density of states at the Fermi level is 0.577 states/eV per atom. For the calculated total energy, the calculation gives -1.65901 Ry/atom.

---

# 7
VASP calculation (SCAN) on a crystal of BeSeCl relaxed with PBEsol.

Lattice parameters (Å, degrees): 6.639 6.639 6.639 154.58 154.58 36.25
Sites, in units of the cell vectors:
Be  0.000  0.000  0.000
Se  0.363  0.363  0.000
Cl  0.605  0.605  0.000

Values from the calculation:
The calculated volume is 53.8 Å³ per cell. Its space group is I4mm. The magnetization is 0.0000 μB per atom. The density of states at the Fermi level is 0.168 states/eV per atom. For the calculated total energy, the calculation gives -0.79785 Ry/atom.

---

# 8
VASP calculation (SCAN) on a crystal of AlReMo2 relaxed with PBEsol.

Lattice parameters (Å, degrees): 2.685 4.353 5.174 90.00 101.23 90.00
Sites, in units of the cell vectors:
Al  0.000  0.000  0.000
Re  0.255  0.500  0.753
Mo  0.481  0.000  0.502
Mo  0.693  0.500  0.239

Values from the calculation:
The calculated volume is 59.3 Å³ per cell. For the formation enthalpy at 0 K, the calculation gives -14.3 kJ per mole of atoms. Its space group is Pm. The magnetization is 0.0000 μB per atom. The density of states at the Fermi level is 0.578 states/eV per atom. For the calculated total energy, the calculation gives -2.74170 Ry/atom.

---

# 9
VASP calculation (SCAN) on a crystal of SrMgIn2 relaxed with PBEsol.

Lattice parameters (Å, degrees): 3.722 3.722 7.678 90.00 90.00 90.00
Sites, in units of the cell vectors:
Sr  0.000  0.000  0.000
Mg  0.000  0.000  0.500
In  0.500  0.500  0.294
In  0.500  0.500  0.706

Values from the calculation:
The calculated volume is 106.4 Å³ per cell. For the formation enthalpy at 0 K, the calculation gives -41.6 kJ per mole of atoms. Its space group is P4/mmm. The magnetization is 0.0000 μB per atom. The density of states at the Fermi level is 0.285 states/eV per atom. For the calculated total energy, the calculation gives -1.75931 Ry/atom.

---

# 10
VASP calculation (SCAN) on a crystal of CaMnP2O7 relaxed with PBEsol.

Lattice parameters (Å, degrees): 6.519 6.575 6.652 66.12 87.14 82.85
Sites, in units of the cell vectors:
Ca  0.133  0.235  0.319
Ca  0.867  0.765  0.681
Mn  0.349  0.395  0.733
Mn  0.651  0.605  0.267
P  0.146  0.735  0.243
P  0.367  0.863  0.820
P  0.633  0.137  0.180
P  0.854  0.265  0.757
O  0.022  0.387  0.801
O  0.068  0.885  0.359
O  0.232  0.902  0.016
O  0.255  0.707  0.758
O  0.327  0.555  0.361
O  0.367  0.103  0.645
O  0.417  0.243  0.083
O  0.583  0.757  0.917
O  0.633  0.897  0.355
O  0.673  0.445  0.639
O  0.745  0.293  0.242
O  0.768  0.098  0.984
O  0.932  0.115  0.641
O  0.978  0.613  0.199

Values from the calculation:
Its distance to the lowest polymorph of the same formula is 0.000 eV per formula unit. The calculated volume is 258.7 Å³ per cell. Its space group is P-1. The magnetization is 0.4545 μB per atom. The density of states at the Fermi level is 0.000 states/eV per atom. For the calculated total energy, the calculation gives -0.81904 Ry/atom.

---

# 11
VASP calculation (SCAN) on a crystal of Rb2GaCuF6 relaxed with PBEsol.

Lattice parameters (Å, degrees): 5.856 5.856 5.856 60.00 60.00 60.00
Sites, in units of the cell vectors:
Rb  0.250  0.250  0.250
Rb  0.750  0.750  0.750
Ga  0.000  0.000  0.000
Cu  0.500  0.500  0.500
F  0.233  0.233  0.767
F  0.233  0.767  0.233
F  0.233  0.767  0.767
F  0.767  0.233  0.233
F  0.767  0.233  0.767
F  0.767  0.767  0.233

Values from the calculation:
The calculated volume is 142.0 Å³ per cell. Its space group is Fm-3m. The magnetization is 0.0068 μB per atom. For the calculated total energy, the calculation gives -0.88313 Ry/atom.

---

# 12
VASP calculation (SCAN) on a crystal of Mn4AsPb relaxed with PBEsol.

Lattice parameters (Å, degrees): 4.955 4.955 4.955 60.00 60.00 60.00
Sites, in units of the cell vectors:
Mn  0.125  0.125  0.125
Mn  0.125  0.125  0.626
Mn  0.125  0.626  0.125
Mn  0.626  0.125  0.125
As  0.750  0.750  0.750
Pb  0.500  0.500  0.500

Values from the calculation:
The calculated volume is 86.0 Å³ per cell. For the formation enthalpy at 0 K, the calculation gives 30.4 kJ per mole of atoms. Its space group is F-43m. The magnetization is 1.7814 μB per atom. The density of states at the Fermi level is 0.609 states/eV per atom. For the calculated total energy, the calculation gives -2.04697 Ry/atom.

---

# 13
VASP calculation (SCAN) on a crystal of InPt2Au relaxed with PBEsol.

Lattice parameters (Å, degrees): 4.546 4.546 4.546 60.00 60.00 60.00
Sites, in units of the cell vectors:
In  0.000  0.000  0.000
Pt  0.250  0.250  0.250
Pt  0.500  0.500  0.500
Au  0.750  0.750  0.750

Values from the calculation:
The calculated volume is 66.5 Å³ per cell. For the formation enthalpy at 0 K, the calculation gives -17.1 kJ per mole of atoms. Its space group is F-43m. The magnetization is 0.0000 μB per atom. The density of states at the Fermi level is 0.427 states/eV per atom. For the calculated total energy, the calculation gives -4.47680 Ry/atom.

---

# 14
VASP calculation (SCAN) on a crystal of Ba2GdGaTe5 relaxed with PBEsol.

Lattice parameters (Å, degrees): 7.731 9.170 9.957 103.39 103.11 107.37
Sites, in units of the cell vectors:
Ba  0.141  0.482  0.293
Ba  0.143  0.985  0.287
Ba  0.857  0.015  0.713
Ba  0.859  0.518  0.707
Gd  0.499  0.235  0.999
Gd  0.501  0.765  0.001
Ga  0.309  0.374  0.688
Ga  0.691  0.626  0.312
Te  0.021  0.760  0.511
Te  0.196  0.907  0.940
Te  0.205  0.410  0.933
Te  0.484  0.169  0.676
Te  0.484  0.662  0.679
Te  0.516  0.338  0.321
Te  0.516  0.831  0.324
Te  0.795  0.590  0.067
Te  0.804  0.093  0.060
Te  0.979  0.240  0.489

Values from the calculation:
The calculated volume is 621.2 Å³ per cell. Its space group is P-1. The magnetization is 0.7771 μB per atom. For the calculated total energy, the calculation gives -2.88569 Ry/atom.